An optimized crystal structure of TcNiO2, computed with PBE+U.

Output
E in eV/atom: -6.09
Theoretical density in g cm⁻³: 6.43
Space-group type: I-42d (122)

a b c (Å): 4.939 4.939 7.995
angles (deg): 90.00 90.00 90.00
Fractional positions:
Tc 0.000 0.000 0.000
Tc 0.000 0.500 0.250
Tc 0.500 0.000 0.750
Tc 0.500 0.500 0.500
Ni 0.000 0.000 0.500
Ni 0.000 0.500 0.750
Ni 0.500 0.000 0.250
Ni 0.500 0.500 0.000
O 0.241 0.250 0.125
O 0.250 0.741 0.375
O 0.250 0.759 0.875
O 0.259 0.250 0.625
O 0.741 0.750 0.625
O 0.750 0.241 0.875
O 0.750 0.259 0.375
O 0.759 0.750 0.125